Material: Hg12Se6O25
Method: DFT, PBE
State: relaxed

## Properties
Volume = 17.4 Å³ per atom
Uncorrected formation energy = -0.451 eV per atom
Mass density = 7.265 g/cm3

Cell lengths 15.6162, 15.6162, 10.6515 Å; angles 90.00, 90.00, 120.00 degrees
Space group R-3 (No. 148, hexagonal axes)
Symmetry-distinct sites (fractional):
Hg1 0.0305 0.7509 0.2954 x18
Hg2 0.0764 0.5146 0.6709 x18
Se1 0.0081 0.8578 0.6539 x18
O1 0.0000 0.0000 0.0000 x3
O2 0.0226 0.7866 0.5427 x18
O3 0.0305 0.7564 0.0487 x18
O4 0.0888 0.2371 0.2583 x18
O5 0.1067 0.8901 0.7526 x18

Material: HgSeO3
Method: DFT, PBE
State: relaxed

## Properties
Volume = 18.2 Å³ per atom
Uncorrected formation energy = -0.608 eV per atom
Mass density = 5.992 g/cm3

Cell lengths 6.142, 8.553, 8.573 Å; angles 90.00, 126.27, 90.00 degrees
Space group P2_1/c (No. 14)
Symmetry-distinct sites (fractional):
Hg1 0.141 0.070 0.291 x4
Se1 0.393 0.698 0.263 x4
O1 0.122 0.685 0.617 x4
O2 0.244 0.531 0.282 x4
O3 0.457 0.624 0.099 x4

Material: HgSe2O
Method: DFT, PBE
State: relaxed

## Properties
Volume = 17.7 Å³ per atom
Energy relative to the lowest polymorph listed for this composition = 590 meV per atom
Uncorrected formation energy = 0.711 eV per atom
Mass density = 8.772 g/cm3

Cell lengths 6.570, 6.570, 6.570 Å; angles 90.00, 90.00, 90.00 degrees
Space group Fm-3m (No. 225)
Symmetry-distinct sites (fractional):
Hg1 0.000 0.000 0.000 x4
Se1 0.250 0.250 0.250 x8
O1 0.000 0.000 0.500 x4